# Pm4Sm3Ho8

An optimized crystal structure of Pm4Sm3Ho8 (PBE, Alexandria via LeMat-Bulk).

## Properties
* DFT total energy: -67.8 eV/f.u.
* total magnetic moment: 0.0 μB per formula unit
* polymorph energy (0 for the lowest one): 0 meV per atom
* energy of formation from the pure elements: 130 meV per atom

abc: 12.4913 12.4913 12.4913
angles: 32.42 32.42 32.42
Positions (direct):
Pm 0.0000 0.0000 0.0000
Pm 0.1637 0.1637 0.1637
Pm 0.5000 0.5000 0.5000
Pm 0.8363 0.8363 0.8363
Sm 0.0000 0.5000 0.5000
Sm 0.5000 0.0000 0.5000
Sm 0.5000 0.5000 0.0000
Ho 0.2503 0.2503 0.7486
Ho 0.2503 0.7486 0.2503
Ho 0.2514 0.7497 0.7497
Ho 0.2545 0.2545 0.2545
Ho 0.7455 0.7455 0.7455
Ho 0.7486 0.2503 0.2503
Ho 0.7497 0.2514 0.7497
Ho 0.7497 0.7497 0.2514


# PmSm6Ho12

An optimized crystal structure of PmSm6Ho12 (PBE, Alexandria via LeMat-Bulk).

## Properties
* DFT total energy: -87.7 eV/f.u.
* total magnetic moment: 0.0 μB per formula unit
* polymorph energy (0 for the lowest one): 0 meV per atom
* energy of formation from the pure elements: 17 meV per atom

abc: 9.4226 9.4226 9.4226
angles: 110.92 110.92 110.92
Positions (direct):
Pm 0.0000 0.0000 0.0000
Sm 0.0540 0.3692 0.5786
Sm 0.3692 0.5786 0.0540
Sm 0.4214 0.9460 0.6308
Sm 0.5786 0.0540 0.3692
Sm 0.6308 0.4214 0.9460
Sm 0.9460 0.6308 0.4214
Ho 0.1053 0.7371 0.1573
Ho 0.1573 0.1053 0.7371
Ho 0.2108 0.4736 0.3156
Ho 0.2629 0.8427 0.8947
Ho 0.3156 0.2108 0.4736
Ho 0.4736 0.3156 0.2108
Ho 0.5264 0.6844 0.7892
Ho 0.6844 0.7892 0.5264
Ho 0.7371 0.1573 0.1053
Ho 0.7892 0.5264 0.6844
Ho 0.8427 0.8947 0.2629
Ho 0.8947 0.2629 0.8427


# PmSm2Ho6

An optimized crystal structure of PmSm2Ho6 (PBE, Alexandria via LeMat-Bulk).

## Properties
* DFT total energy: -39.6 eV/f.u.
* total magnetic moment: 0.0 μB per formula unit
* polymorph energy (0 for the lowest one): 127 meV per atom
* energy of formation from the pure elements: 233 meV per atom

abc: 7.4762 7.4762 6.0246
angles: 90.00 90.00 120.00
Positions (direct):
Pm 0.0000 0.0000 0.0000
Sm 0.3333 0.6667 0.7867
Sm 0.6667 0.3333 0.2133
Ho 0.1876 0.3752 0.2951
Ho 0.1876 0.8124 0.2951
Ho 0.3752 0.1876 0.7049
Ho 0.6248 0.8124 0.2951
Ho 0.8124 0.1876 0.7049
Ho 0.8124 0.6248 0.7049


# PmSmHo

An optimized crystal structure of PmSmHo (PBE, Alexandria via LeMat-Bulk).

## Properties
* DFT total energy: -13.9 eV/f.u.
* total magnetic moment: 0.0 μB per formula unit
* polymorph energy (0 for the lowest one): 49 meV per atom
* energy of formation from the pure elements: 65 meV per atom

abc: 5.6974 5.6974 3.5053
angles: 90.00 90.00 120.00
Positions (direct):
Pm 0.0000 0.0000 0.0000
Sm 0.6667 0.3333 0.5000
Ho 0.3333 0.6667 0.0000


# PmSm12Ho7

An optimized crystal structure of PmSm12Ho7 (PBE, Alexandria via LeMat-Bulk).

## Properties
* DFT total energy: -91.3 eV/f.u.
* total magnetic moment: 0.0 μB per formula unit
* polymorph energy (0 for the lowest one): 0 meV per atom
* energy of formation from the pure elements: 104 meV per atom

abc: 8.8117 8.8117 8.8117
angles: 98.24 98.24 98.24
Positions (direct):
Pm 0.0000 0.0000 0.0000
Sm 0.0909 0.3583 0.3583
Sm 0.2379 0.5000 0.7621
Sm 0.2379 0.7621 0.5000
Sm 0.3583 0.0909 0.3583
Sm 0.3583 0.3583 0.0909
Sm 0.5000 0.2379 0.7621
Sm 0.5000 0.7621 0.2379
Sm 0.6417 0.6417 0.9091
Sm 0.6417 0.9091 0.6417
Sm 0.7621 0.2379 0.5000
Sm 0.7621 0.5000 0.2379
Sm 0.9091 0.6417 0.6417
Ho 0.0967 0.0967 0.6597
Ho 0.0967 0.6597 0.0967
Ho 0.3403 0.9033 0.9033
Ho 0.5000 0.5000 0.5000
Ho 0.6597 0.0967 0.0967
Ho 0.9033 0.3403 0.9033
Ho 0.9033 0.9033 0.3403


# Pm3Sm2Ho5

An optimized crystal structure of Pm3Sm2Ho5 (PBE, Alexandria via LeMat-Bulk).

## Properties
* DFT total energy: -42.6 eV/f.u.
* total magnetic moment: 0.0 μB per formula unit
* polymorph energy (0 for the lowest one): 207 meV per atom
* energy of formation from the pure elements: 394 meV per atom

abc: 9.9321 9.9321 9.9321
angles: 123.40 93.27 113.11
Positions (direct):
Pm 0.1279 0.2498 0.3777
Pm 0.2500 0.2500 0.0000
Pm 0.3721 0.7498 0.1218
Pm 0.6279 0.2502 0.8782
Pm 0.7500 0.7500 0.0000
Pm 0.8721 0.7502 0.6223
Sm 0.1249 0.8991 0.0239
Sm 0.3751 0.3991 0.7742
Sm 0.6249 0.6009 0.2258
Sm 0.8751 0.1009 0.9761
Ho 0.0017 0.7500 0.2517
Ho 0.1226 0.5878 0.7104
Ho 0.2500 0.7500 0.5000
Ho 0.3774 0.0878 0.4653
Ho 0.4983 0.7500 0.7483
Ho 0.5017 0.2500 0.2517
Ho 0.6226 0.9122 0.5347
Ho 0.7500 0.2500 0.5000
Ho 0.8774 0.4122 0.2896
Ho 0.9983 0.2500 0.7483


# PmSm12Ho2

An optimized crystal structure of PmSm12Ho2 (PBE, Alexandria via LeMat-Bulk).

## Properties
* DFT total energy: -68.1 eV/f.u.
* total magnetic moment: 0.0 μB per formula unit
* energy of formation from the pure elements: 160 meV per atom

abc: 6.7707 6.7707 24.8537
angles: 90.00 90.00 116.32
Positions (direct):
Pm 0.2500 0.7500 0.9990
Pm 0.7500 0.2500 0.0010
Sm 0.0015 0.5015 0.8691
Sm 0.0020 0.9980 0.0767
Sm 0.0178 0.5178 0.4144
Sm 0.0229 0.9771 0.5601
Sm 0.2500 0.2500 0.2002
Sm 0.2500 0.2500 0.3257
Sm 0.2500 0.2500 0.6743
Sm 0.2500 0.2500 0.7998
Sm 0.4771 0.5229 0.5601
Sm 0.4822 0.9822 0.4144
Sm 0.4980 0.5020 0.0767
Sm 0.4985 0.9985 0.8691
Sm 0.5015 0.0015 0.1309
Sm 0.5020 0.4980 0.9233
Sm 0.5178 0.0178 0.5856
Sm 0.5229 0.4771 0.4399
Sm 0.7500 0.7500 0.2002
Sm 0.7500 0.7500 0.3257
Sm 0.7500 0.7500 0.6743
Sm 0.7500 0.7500 0.7998
Sm 0.9771 0.0229 0.4399
Sm 0.9822 0.4822 0.5856
Sm 0.9980 0.0020 0.9233
Sm 0.9985 0.4985 0.1309
Ho 0.2500 0.7500 0.2668
Ho 0.2500 0.7500 0.7289
Ho 0.7500 0.2500 0.2711
Ho 0.7500 0.2500 0.7332


# Pm2SmHo8

An optimized crystal structure of Pm2SmHo8 (PBE, Alexandria via LeMat-Bulk).

## Properties
* DFT total energy: -49.6 eV/f.u.
* total magnetic moment: 0.0 μB per formula unit
* polymorph energy (0 for the lowest one): 94 meV per atom
* energy of formation from the pure elements: 114 meV per atom

abc: 9.3791 9.3791 9.3791
angles: 145.84 128.93 62.88
Positions (direct):
Pm 0.2005 0.2005 0.0000
Pm 0.7995 0.7995 0.0000
Sm 0.5000 0.5000 0.0000
Ho 0.0696 0.3620 0.7077
Ho 0.2067 0.0000 0.2067
Ho 0.3392 0.8392 0.5000
Ho 0.3457 0.6380 0.7077
Ho 0.6543 0.3620 0.2923
Ho 0.6608 0.1608 0.5000
Ho 0.7933 0.0000 0.7933
Ho 0.9304 0.6380 0.2923


# PmSm2Ho

An optimized crystal structure of PmSm2Ho (PBE, Alexandria via LeMat-Bulk).

## Properties
* DFT total energy: -18.3 eV/f.u.
* total magnetic moment: 0.0 μB per formula unit
* polymorph energy (0 for the lowest one): 103 meV per atom
* energy of formation from the pure elements: 119 meV per atom

abc: 4.2459 4.2459 7.3992
angles: 90.00 90.00 90.00
Positions (direct):
Pm 0.0000 0.0000 0.0000
Sm 0.5000 0.5000 0.2549
Sm 0.5000 0.5000 0.7451
Ho 0.0000 0.0000 0.5000


# Pm6Sm2Ho3

An optimized crystal structure of Pm6Sm2Ho3 (PBE, Alexandria via LeMat-Bulk).

## Properties
* DFT total energy: -51.5 eV/f.u.
* total magnetic moment: 0.0 μB per formula unit
* polymorph energy (0 for the lowest one): 0 meV per atom
* energy of formation from the pure elements: 15 meV per atom

abc: 3.6127 6.2499 16.9399
angles: 90.11 90.01 106.73
Positions (direct):
Pm 0.0446 0.0904 0.1821
Pm 0.1365 0.2716 0.5452
Pm 0.2270 0.4527 0.9091
Pm 0.7730 0.5473 0.0909
Pm 0.8635 0.7284 0.4548
Pm 0.9554 0.9096 0.8179
Sm 0.3165 0.6340 0.2737
Sm 0.6835 0.3660 0.7263
Ho 0.4096 0.8190 0.6359
Ho 0.5000 0.0000 0.0000
Ho 0.5904 0.1810 0.3641


# Pm2Sm5Ho4

An optimized crystal structure of Pm2Sm5Ho4 (PBE, Alexandria via LeMat-Bulk).

## Properties
* DFT total energy: -50.5 eV/f.u.
* total magnetic moment: 0.0 μB per formula unit
* polymorph energy (0 for the lowest one): 0 meV per atom
* energy of formation from the pure elements: 80 meV per atom

abc: 6.5939 6.6453 9.0921
angles: 69.48 78.49 84.23
Positions (direct):
Pm 0.0936 0.4170 0.2102
Pm 0.9064 0.5830 0.7898
Sm 0.0000 0.0000 0.0000
Sm 0.1801 0.8586 0.3642
Sm 0.2966 0.3377 0.6068
Sm 0.7034 0.6623 0.3932
Sm 0.8199 0.1414 0.6358
Ho 0.3943 0.8009 0.6948
Ho 0.4790 0.2733 0.9493
Ho 0.5210 0.7267 0.0507
Ho 0.6057 0.1991 0.3052


# Pm10Sm4Ho

An optimized crystal structure of Pm10Sm4Ho (PBE, Alexandria via LeMat-Bulk).

## Properties
* DFT total energy: -60.3 eV/f.u.
* total magnetic moment: 0.0 μB per formula unit
* energy of formation from the pure elements: 712 meV per atom

abc: 9.5883 9.5883 9.5883
angles: 99.56 99.56 131.89
Positions (direct):
Pm 0.0493 0.3478 0.8995
Pm 0.1498 0.0493 0.7015
Pm 0.2500 0.7500 0.5000
Pm 0.3478 0.4483 0.2985
Pm 0.4483 0.1498 0.1005
Pm 0.5517 0.8502 0.8995
Pm 0.6522 0.5517 0.7015
Pm 0.7500 0.2500 0.5000
Pm 0.8502 0.9507 0.2985
Pm 0.9507 0.6522 0.1005
Sm 0.2010 0.3994 0.6004
Sm 0.3994 0.7990 0.1983
Sm 0.6006 0.2010 0.8017
Sm 0.7990 0.6006 0.3996
Ho 0.0000 0.0000 0.0000


# Pm3Sm2Ho5

An optimized crystal structure of Pm3Sm2Ho5 (PBE, Alexandria via LeMat-Bulk).

## Properties
* DFT total energy: -44.7 eV/f.u.
* total magnetic moment: 0.0 μB per formula unit
* polymorph energy (0 for the lowest one): 0 meV per atom
* energy of formation from the pure elements: 188 meV per atom

abc: 9.6590 9.6590 9.3781
angles: 108.48 108.48 112.55
Positions (direct):
Pm 0.0299 0.2751 0.0479
Pm 0.2291 0.7709 0.7500
Pm 0.2751 0.0299 0.5479
Pm 0.7249 0.9701 0.4521
Pm 0.7709 0.2291 0.2500
Pm 0.9701 0.7249 0.9521
Sm 0.2327 0.4774 0.4531
Sm 0.4774 0.2327 0.9531
Sm 0.5226 0.7673 0.0469
Sm 0.7673 0.5226 0.5469
Ho 0.0268 0.9732 0.7500
Ho 0.1275 0.3602 0.7398
Ho 0.2705 0.7295 0.2500
Ho 0.3602 0.1275 0.2398
Ho 0.4746 0.5254 0.2500
Ho 0.5254 0.4746 0.7500
Ho 0.6398 0.8725 0.7602
Ho 0.7295 0.2705 0.7500
Ho 0.8725 0.6398 0.2602
Ho 0.9732 0.0268 0.2500


# PmSm2Ho4

An optimized crystal structure of PmSm2Ho4 (PBE, Alexandria via LeMat-Bulk).

## Properties
* DFT total energy: -32.2 eV/f.u.
* total magnetic moment: 0.0 μB per formula unit
* polymorph energy (0 for the lowest one): 26 meV per atom
* energy of formation from the pure elements: 41 meV per atom

abc: 8.5733 8.5733 8.7772
angles: 119.08 119.08 23.84
Positions (direct):
Pm 0.0000 0.0000 0.0000
Sm 0.0693 0.0693 0.4283
Sm 0.9307 0.9307 0.5717
Ho 0.2938 0.2938 0.7065
Ho 0.3546 0.3546 0.1583
Ho 0.6454 0.6454 0.8417
Ho 0.7062 0.7062 0.2935


# Pm10SmHo6

An optimized crystal structure of Pm10SmHo6 (PBE, Alexandria via LeMat-Bulk).

## Properties
* DFT total energy: -77.5 eV/f.u.
* total magnetic moment: 0.0 μB per formula unit
* energy of formation from the pure elements: 130 meV per atom

abc: 9.8037 9.8037 6.8875
angles: 90.00 90.00 120.00
Positions (direct):
Pm 0.0000 0.2759 0.3168
Pm 0.0000 0.7241 0.6832
Pm 0.2759 0.0000 0.3168
Pm 0.2759 0.2759 0.6832
Pm 0.3333 0.6667 0.0000
Pm 0.3333 0.6667 0.5000
Pm 0.6667 0.3333 0.0000
Pm 0.6667 0.3333 0.5000
Pm 0.7241 0.0000 0.6832
Pm 0.7241 0.7241 0.3168
Sm 0.0000 0.0000 0.0000
Ho 0.0000 0.3720 0.8078
Ho 0.0000 0.6280 0.1922
Ho 0.3720 0.0000 0.8078
Ho 0.3720 0.3720 0.1922
Ho 0.6280 0.0000 0.1922
Ho 0.6280 0.6280 0.8078


# Pm2Sm2Ho15

An optimized crystal structure of Pm2Sm2Ho15 (PBE, Alexandria via LeMat-Bulk).

## Properties
* DFT total energy: -82.2 eV/f.u.
* total magnetic moment: 0.0 μB per formula unit
* energy of formation from the pure elements: 286 meV per atom

abc: 8.6987 8.6987 8.6987
angles: 80.35 80.35 80.35
Positions (direct):
Pm 0.1168 0.1168 0.1168
Pm 0.8832 0.8832 0.8832
Sm 0.3318 0.3318 0.3318
Sm 0.6682 0.6682 0.6682
Ho 0.0000 0.0000 0.5000
Ho 0.0000 0.3017 0.6983
Ho 0.0000 0.5000 0.0000
Ho 0.0000 0.6983 0.3017
Ho 0.1523 0.6330 0.6330
Ho 0.3017 0.0000 0.6983
Ho 0.3017 0.6983 0.0000
Ho 0.3670 0.3670 0.8477
Ho 0.3670 0.8477 0.3670
Ho 0.5000 0.0000 0.0000
Ho 0.6330 0.1523 0.6330
Ho 0.6330 0.6330 0.1523
Ho 0.6983 0.0000 0.3017
Ho 0.6983 0.3017 0.0000
Ho 0.8477 0.3670 0.3670


# Pm4SmHo5

An optimized crystal structure of Pm4SmHo5 (PBE, Alexandria via LeMat-Bulk).

## Properties
* DFT total energy: -44.7 eV/f.u.
* total magnetic moment: 0.0 μB per formula unit
* polymorph energy (0 for the lowest one): 0 meV per atom
* energy of formation from the pure elements: 191 meV per atom

abc: 3.5375 8.7824 11.1913
angles: 90.13 90.02 101.62
Positions (direct):
Pm 0.0315 0.0613 0.2485
Pm 0.3463 0.6887 0.2501
Pm 0.6537 0.3113 0.7499
Pm 0.9685 0.9387 0.7515
Sm 0.5000 0.0000 0.5000
Ho 0.1726 0.3465 0.0491
Ho 0.1733 0.3487 0.4476
Ho 0.5000 0.0000 0.0000
Ho 0.8267 0.6513 0.5524
Ho 0.8274 0.6535 0.9509


# Pm2Sm7Ho3

An optimized crystal structure of Pm2Sm7Ho3 (PBE, Alexandria via LeMat-Bulk).

## Properties
* DFT total energy: -52.7 eV/f.u.
* total magnetic moment: 0.0 μB per formula unit
* polymorph energy (0 for the lowest one): 185 meV per atom
* energy of formation from the pure elements: 297 meV per atom

abc: 6.2001 5.4955 12.4218
angles: 90.00 90.63 90.00
Positions (direct):
Pm 0.1000 0.0000 0.2797
Pm 0.9000 0.0000 0.7203
Sm 0.0582 0.5000 0.8207
Sm 0.2612 0.0000 0.5460
Sm 0.4194 0.0000 0.8301
Sm 0.5000 0.5000 0.0000
Sm 0.5806 0.0000 0.1699
Sm 0.7388 0.0000 0.4540
Sm 0.9418 0.5000 0.1793
Ho 0.0000 0.0000 0.0000
Ho 0.4383 0.5000 0.3440
Ho 0.5617 0.5000 0.6560


# PmSmHo

An optimized crystal structure of PmSmHo (PBE, Alexandria via LeMat-Bulk).

## Properties
* DFT total energy: -14.0 eV/f.u.
* total magnetic moment: 0.0 μB per formula unit
* polymorph energy (0 for the lowest one): 0 meV per atom
* energy of formation from the pure elements: 16 meV per atom

abc: 6.2168 6.2168 7.1848
angles: 106.42 106.42 48.53
Positions (direct):
Pm 0.1662 0.1662 0.3323
Pm 0.8338 0.8338 0.6677
Sm 0.5000 0.5000 0.0000
Sm 0.5000 0.5000 0.5000
Ho 0.1677 0.1677 0.8348
Ho 0.8323 0.8323 0.1652